# Rb2MgZnAs2, relaxed, DFT PBE
# uncorrected energy	-2.883	eV/atom
# mass density	4.00	g cm⁻³
# spin magnetization	0.0	μB per formula unit
# ΔH_f (0 K)	-532	meV per atom
data_Rb2MgZnAs2
_space_group_name_H-M_alt 'I b a m'
_space_group_IT_number 72
_space_group_name_Hall '-I 2 2c'
_cell_length_a 6.378
_cell_length_b 16.647
_cell_length_c 6.427
_cell_angle_alpha 90.00
_cell_angle_beta 90.00
_cell_angle_gamma 90.00
loop_
_atom_site_label
_atom_site_type_symbol
_atom_site_fract_x
_atom_site_fract_y
_atom_site_fract_z
Rb1 Rb 0.245 0.173 0.000
Mg1 Mg 0.000 0.500 0.250
Zn1 Zn 0.000 0.000 0.250
As1 As 0.241 0.088 0.500

---

# KUPdS4, relaxed, DFT PBE
# uncorrected formation energy	-91.9	kJ per mole of atoms
# uncorrected energy	-5.822	eV/atom
# DOS(E_F)	5.5	states/eV/cell
# mass density	5.24	g cm⁻³
# spin magnetization	0.2	μB per formula unit
data_KUPdS4
_space_group_name_H-M_alt 'P 1 21/m 1'
_space_group_IT_number 11
_cell_length_a 6.515
_cell_length_b 5.871
_cell_length_c 8.951
_cell_angle_alpha 90.00
_cell_angle_beta 108.58
_cell_angle_gamma 90.00
loop_
_space_group_symop_operation_xyz
'x,y,z'
'-x,-y,-z'
'-x,y+1/2,-z'
'x,-y+1/2,z'
loop_
_atom_site_label
_atom_site_type_symbol
_atom_site_fract_x
_atom_site_fract_y
_atom_site_fract_z
K1 K 0.248 0.250 0.451
U1 U 0.243 0.250 0.943
Pd1 Pd 0.282 0.750 0.161
S1 S 0.036 0.750 0.904
S2 S 0.047 0.750 0.324
S3 S 0.455 0.530 0.801